The following is a PBE calculation of crystalline Ho5Th3Bi8 at its relaxed geometry, from Alexandria.

Unit cell a=9.0386 b=9.0386 c=22.0668 alpha=90.00 beta=90.00 gamma=120.00
With the nearest neighbours (Å) after each atom.
Space group R-3m (No. 166, hexagonal axes)
Unique sites:
Ho: 0.0000 0.0000 0.0000 x3  6 Bi 3.19
Ho: 0.0000 0.0000 0.5000 x3  6 Bi 3.19
Ho: 0.0000 0.5000 0.0000 x9  6 Bi 3.14-3.15
Th: 0.0000 0.5000 0.5000 x9  6 Bi 3.24
Bi: 0.0000 0.0000 0.2538 x6  3 Ho 3.14, 3 Th 3.24
Bi: 0.0046 0.5023 0.2523 x18  4 Ho 3.15-3.19, 2 Th 3.24

**M_tot**: 0.0 μB/f.u.


The following is a PBE calculation of crystalline HoTh8Bi6 at its relaxed geometry, from Alexandria.

Unit cell a=9.3029 b=9.3029 c=20.4682 alpha=90.00 beta=90.00 gamma=120.00
With the nearest neighbours (Å) after each atom.
Space group R-3 (No. 148, hexagonal axes)
Unique sites:
Ho: 0.0000 0.0000 0.0000 x3  6 Bi 3.21
Th: 0.0000 0.0000 0.3340 x6  6 Bi 3.37-3.46, 3 Th 3.72
Th: 0.0100 0.6539 0.8902 x18  5 Bi 3.24-3.51
Bi: 0.0070 0.6861 0.0612 x18  1 Ho 3.21, 7 Th 3.24-3.51

**M_tot**: 0.0 μB/f.u.


The following is a PBE calculation of crystalline HoThBi at its relaxed geometry, from Alexandria.

Unit cell a=4.5532 b=4.5532 c=8.9423 alpha=90.00 beta=90.00 gamma=90.00
With the nearest neighbours (Å) after each atom.
Space group P4/nmm (No. 129, origin choice 2)
Unique sites:
Ho: 0.2500 0.7500 0.0000 x2  4 Ho 3.22, 4 Bi 3.29
Th: 0.2500 0.2500 0.3592 x2  5 Bi 3.33-3.36
Bi: 0.2500 0.2500 0.7350 x2  4 Ho 3.29, 5 Th 3.33-3.36

**M_tot**: 0.0 μB/f.u.


The following is a PBE calculation of crystalline HoTh6Bi8 at its relaxed geometry, from Alexandria.

Unit cell a=9.6177 b=9.6177 c=19.4232 alpha=90.00 beta=90.00 gamma=120.00
With the nearest neighbours (Å) after each atom.
Space group R-3 (No. 148, hexagonal axes)
Unique sites:
Ho: 0.0000 0.0000 0.0000 x3  6 Bi 3.15
Th: 0.9998 0.3842 0.0768 x18  7 Bi 3.26-3.43
Bi: 0.0000 0.0000 0.3309 x6  6 Th 3.32-3.37
Bi: 0.0040 0.7304 0.0907 x18  1 Ho 3.15, 5 Th 3.26-3.43

**M_tot**: 0.0 μB/f.u.


The following is a PBE calculation of crystalline HoTh5Bi4 at its relaxed geometry, from Alexandria.

Unit cell a=18.8887 b=4.2533 c=8.9291 alpha=90.00 beta=101.33 gamma=90.00
With the nearest neighbours (Å) after each atom.
Space group C2/m (No. 12)
Unique sites:
Ho: 0.0000 0.0000 0.0000 x2  6 Bi 3.03-3.07
Th: 0.0000 0.0000 0.5000 x2  4 Bi 3.15
Th: 0.1661 0.5000 0.7818 x4  4 Bi 3.20-3.30
Th: 0.1873 0.5000 0.3588 x4  3 Bi 3.31-3.34
Bi: 0.0099 0.5000 0.2447 x4  2 Ho 3.03, 4 Th 3.15-3.31
Bi: 0.1658 0.0000 0.0643 x4  1 Ho 3.07, 5 Th 3.20-3.34

**M_tot**: 0.0 μB/f.u.


The following is a PBE calculation of crystalline Ho2ThBi3 at its relaxed geometry, from Alexandria.

Unit cell a=4.5182 b=6.4026 c=13.4646 alpha=90.00 beta=90.00 gamma=90.00
With the nearest neighbours (Å) after each atom.
Space group Immm (No. 71)
Unique sites:
Ho: 0.0000 0.0000 0.1647 x4  6 Bi 3.15-3.20
Th: 0.0000 0.0000 0.5000 x2  6 Bi 3.20-3.24
Bi: 0.0000 0.5000 0.1722 x4  4 Ho 3.15-3.20, 2 Th 3.24
Bi: 0.0000 0.5000 0.5000 x2  4 Ho 3.17, 2 Th 3.20

**M_tot**: 0.0 μB/f.u.


Number 1: formation energy from the elements -0.734 eV/atom. Number 2: formation energy from the elements -0.209 eV/atom. Number 3: formation energy from the elements -0.433 eV/atom. Number 4: formation energy from the elements -0.528 eV/atom. Number 5: formation energy from the elements -0.220 eV/atom. Number 6: formation energy from the elements -0.746 eV/atom.